{
  "formula": "HoAs4",
  "functional": "PBE-GGA",
  "state": "optimized geometry",
  "cell": [[-1.1494, 3.8781, 3.4998], [-1.3655, -3.6820, 3.6315], [5.0422, -0.1131, 1.7813]],
  "species": ["As", "As", "As", "As", "Ho"],
  "fractional_positions": [[0.0000, 0.0000, 0.0000], [0.5000, 0.0000, 0.5000], [0.0000, 0.5000, 0.5000], [0.5000, 0.5000, 0.0000], [0.5000, 0.5000, 0.5000]],
  "formation_energy_mev_per_atom": 740,
  "dos_ef_per_ev_fu": 6.12
}

***

{
  "formula": "Ag3IrCl",
  "functional": "PBE-GGA",
  "state": "optimized geometry",
  "cell": [[4.8319, 0.0000, 0.0000], [0.0000, 4.8319, 0.0000], [0.0000, 0.0000, 4.8319]],
  "species": ["Ir", "Ag", "Ag", "Ag", "Cl"],
  "fractional_positions": [[0.5000, 0.5000, 0.5000], [0.0000, 0.5000, 0.0000], [0.0000, 0.0000, 0.5000], [0.5000, 0.0000, 0.0000], [0.0000, 0.0000, 0.0000]],
  "e_above_lowest_polymorph_ev_per_fu": 1.19,
  "e_form_raw_ev_per_atom": 1.234,
  "dos_ef_per_ev_fu": 5.70
}

***

{
  "formula": "NpGa3Pt7",
  "functional": "PBE-GGA",
  "state": "optimized geometry",
  "cell": [[5.5473, 0.4150, 0.5315], [-2.0847, 5.8235, -0.0599], [-2.0847, -1.4699, 5.6353]],
  "species": ["Np", "Ga", "Ga", "Ga", "Pt", "Pt", "Pt", "Pt", "Pt", "Pt", "Pt"],
  "fractional_positions": [[0.5000, 0.5000, 0.5000], [0.0000, 0.7732, 0.2268], [0.5000, 0.0000, 0.0000], [0.0000, 0.2268, 0.7732], [0.0375, 0.1831, 0.1831], [0.3129, 0.0346, 0.5928], [0.6871, 0.4072, 0.9654], [0.3129, 0.5928, 0.0346], [0.0000, 0.5000, 0.5000], [0.6871, 0.9654, 0.4072], [0.9625, 0.8169, 0.8169]],
  "formation_energy_mev_per_atom": -451,
  "dos_ef_per_ev_fu": 12.43
}

***

{
  "formula": "Ce3Sm4Tc2",
  "functional": "PBE-GGA",
  "state": "optimized geometry",
  "cell": [[-2.1552, -2.2818, -2.1364], [2.1853, 4.6617, -7.1916], [6.1475, -5.4293, 2.9538]],
  "species": ["Ce", "Ce", "Ce", "Sm", "Sm", "Sm", "Sm", "Tc", "Tc"],
  "fractional_positions": [[0.0735, 0.1870, 0.1466], [0.9265, 0.8130, 0.8534], [0.0000, 0.5000, 0.0000], [0.2287, 0.6480, 0.4566], [0.7713, 0.3520, 0.5434], [0.6233, 0.8761, 0.2485], [0.3767, 0.1239, 0.7515], [0.4079, 0.6044, 0.8194], [0.5921, 0.3956, 0.1806]],
  "formation_energy_mev_per_atom": -28,
  "dos_ef_per_ev_fu": 15.94
}

***

{
  "formula": "Sr5Ga2Pb",
  "functional": "PBE-GGA",
  "state": "optimized geometry",
  "cell": [[7.7172, 0.0000, -3.6429], [-1.7197, 7.5232, -3.6429], [0.0468, 0.0587, 10.0948]],
  "species": ["Sr", "Sr", "Sr", "Sr", "Sr", "Sr", "Sr", "Sr", "Sr", "Sr", "Ga", "Ga", "Ga", "Ga", "Pb", "Pb"],
  "fractional_positions": [[0.5383, 0.6823, 0.7206], [0.8177, 0.9617, 0.2794], [0.0000, 0.0000, 0.0000], [0.5000, 0.5000, 0.0000], [0.1823, 0.0383, 0.7206], [0.6823, 0.1823, 0.7206], [0.0383, 0.5383, 0.7206], [0.3177, 0.8177, 0.2794], [0.9617, 0.4617, 0.2794], [0.4617, 0.3177, 0.2794], [0.1059, 0.3941, 0.0000], [0.6059, 0.1059, 0.0000], [0.3941, 0.8941, 0.0000], [0.8941, 0.6059, 0.0000], [0.7500, 0.7500, 0.5000], [0.2500, 0.2500, 0.5000]],
  "formation_energy_mev_per_atom": -420,
  "dos_ef_per_ev_fu": 6.64
}

***

{
  "formula": "Dy3Zn2Pd4",
  "functional": "PBE-GGA",
  "state": "optimized geometry",
  "cell": [[-4.0723, -0.8257, 1.1040], [3.5792, -3.0191, 2.5731], [0.2518, 6.5126, 5.7992]],
  "species": ["Dy", "Dy", "Dy", "Zn", "Zn", "Pd", "Pd", "Pd", "Pd"],
  "fractional_positions": [[0.3748, 0.7497, 0.6164], [0.0000, 0.0000, 0.0000], [0.6252, 0.2503, 0.3836], [0.3225, 0.6450, 0.2183], [0.6775, 0.3550, 0.7817], [0.7125, 0.4250, 0.0889], [0.0837, 0.1673, 0.6356], [0.9163, 0.8327, 0.3644], [0.2875, 0.5750, 0.9111]],
  "formation_energy_mev_per_atom": -759,
  "dos_ef_per_ev_fu": 4.59
}

***

{
  "formula": "Sc5P",
  "functional": "PBE-GGA",
  "state": "optimized geometry",
  "cell": [[4.1653, 1.9324, 3.1829], [-5.2963, 1.2422, 1.2732], [-0.3082, -4.5739, 3.1802]],
  "species": ["Sc", "Sc", "Sc", "Sc", "Sc", "P"],
  "fractional_positions": [[0.3333, 0.6667, 0.0000], [0.6667, 0.3333, 0.0000], [0.5000, 0.0000, 0.5000], [0.0000, 0.5000, 0.5000], [0.5000, 0.5000, 0.5000], [0.0000, 0.0000, 0.0000]],
  "formation_energy_mev_per_atom": 590,
  "e_above_lowest_polymorph_ev_per_fu": 5.80,
  "dos_ef_per_ev_fu": 10.85
}